#i
First-principles (PBE-GGA) data for a geometry-optimized NaHoPb3 structure, as listed in Alexandria via LeMat-Bulk.

The structure in POSCAR format:
```
NaHoPb3
1.0
6.4835 0.0000 0.0000
0.0000 14.1016 0.0000
-0.0148 0.0000 6.3887
Na Ho Pb
4 4 12
Cartesian
-0.0037 1.4371 1.5972
-0.0111 12.6645 4.7915
3.2381 1.4363 1.5972
3.2306 12.6652 4.7915
1.6164 4.4576 3.2118
1.6238 9.6440 0.0174
4.8449 4.4576 6.3713
4.8523 9.6440 3.1769
-0.0111 6.9813 4.7915
-0.0037 7.1202 1.5972
1.6099 1.5004 4.5375
1.6181 4.0823 0.0709
1.6107 10.0192 3.2652
1.6173 12.6011 1.3431
3.2306 6.9855 4.7915
3.2381 7.1160 1.5972
4.8514 1.5004 5.0456
4.8580 4.0823 3.1235
4.8506 10.0192 6.3179
4.8588 12.6011 1.8512
```

Results
Theoretical density (g/cm³): 9.21
Spin magnetization (μB/atom): 0.000

#ii
First-principles (PBE-GGA) data for a geometry-optimized NaHoPb3 structure, as listed in Alexandria via LeMat-Bulk.

The structure in POSCAR format:
```
NaHoPb3
1.0
4.1912 -5.8092 0.0000
4.1912 5.8092 0.0000
0.0000 0.0000 6.2914
Na Ho Pb
2 2 6
Cartesian
0.0000 0.0000 0.0000
0.0000 0.0000 3.1457
4.1912 2.3134 4.7186
4.1912 -2.3134 1.5729
4.1912 3.2367 1.5729
2.5927 0.6392 1.5729
2.5927 -0.6392 4.7186
5.7897 0.6392 1.5729
5.7897 -0.6392 4.7186
4.1912 -3.2367 4.7186
```

Results
Theoretical density (g/cm³): 8.78
Spin magnetization (μB/atom): 0.000

Pick #i: it beats the second-best structure by 160 meV/atom.

#i
First-principles (PBE-GGA) data for a geometry-optimized NaHoTlPb structure, as listed in Alexandria via LeMat-Bulk.

The structure in POSCAR format:
```
NaHoTlPb
1.0
0.0000 3.8063 3.8063
3.8063 0.0000 3.8063
3.8063 3.8063 0.0000
Na Ho Tl Pb
1 1 1 1
Cartesian
0.0000 0.0000 0.0000
3.8063 3.8063 3.8063
5.7094 5.7094 5.7094
1.9031 1.9031 1.9031
```

Results
Theoretical density (g/cm³): 9.03
Spin magnetization (μB/atom): 0.000

#ii
First-principles (PBE-GGA) data for a geometry-optimized NaHoTlPb structure, as listed in Alexandria via LeMat-Bulk.

The structure in POSCAR format:
```
NaHoTlPb
1.0
3.7937 0.0000 0.0000
0.0000 3.7937 0.0000
0.0000 0.0000 7.7085
Na Ho Tl Pb
1 1 1 1
Cartesian
0.0000 0.0000 0.0000
0.0000 0.0000 3.9322
1.8969 1.8969 5.7976
1.8969 1.8969 1.9693
```

Results
Theoretical density (g/cm³): 8.97
Spin magnetization (μB/atom): 0.000

Pick #ii: it beats the second-best structure by 20 meV/atom.

#i
First-principles (PBE-GGA) data for a geometry-optimized NaHoPd2 structure, as listed in Alexandria via LeMat-Bulk.

The structure in POSCAR format:
```
NaHoPd2
1.0
0.0000 3.4123 3.4123
3.4123 0.0000 3.4123
3.4123 3.4123 0.0000
Na Ho Pd
1 1 2
Cartesian
0.0000 0.0000 0.0000
3.4123 3.4123 3.4123
1.7062 1.7062 1.7062
5.1185 5.1185 5.1185
```

Results
Theoretical density (g/cm³): 8.37
Spin magnetization (μB/atom): 0.000

#ii
First-principles (PBE-GGA) data for a geometry-optimized NaHoPd2 structure, as listed in Alexandria via LeMat-Bulk.

The structure in POSCAR format:
```
NaHoPd2
1.0
3.4297 0.0000 0.0000
0.0000 3.4297 0.0000
0.0000 0.0000 7.1784
Na Ho Pd
1 1 2
Cartesian
0.0000 0.0000 0.0000
0.0000 0.0000 3.5892
1.7149 1.7149 1.9743
1.7149 1.7149 5.2041
```

Results
Theoretical density (g/cm³): 7.88
Spin magnetization (μB/atom): 0.000

Pick #ii: it beats the second-best structure by 33 meV/atom.

#i
First-principles (PBE-GGA) data for a geometry-optimized NaPm2Ho structure, as listed in Alexandria via LeMat-Bulk.

The structure in POSCAR format:
```
NaPm2Ho
1.0
5.9244 0.0000 0.0000
0.0000 5.9244 0.0000
0.0000 0.0000 3.7475
Na Pm Ho
1 2 1
Cartesian
0.0000 0.0000 0.0000
0.0000 2.9622 1.8738
2.9622 0.0000 1.8738
2.9622 2.9622 0.0000
```

Results
Theoretical density (g/cm³): 6.03
Spin magnetization (μB/atom): 0.000

#ii
First-principles (PBE-GGA) data for a geometry-optimized NaPm2Ho structure, as listed in Alexandria via LeMat-Bulk.

The structure in POSCAR format:
```
NaPm2Ho
1.0
3.5303 0.0000 0.0000
0.0000 3.5303 0.0000
0.0000 0.0000 10.8988
Na Pm Ho
1 2 1
Cartesian
0.0000 0.0000 0.0000
1.7652 1.7652 2.9205
1.7652 1.7652 7.9783
0.0000 0.0000 5.4494
```

Results
Theoretical density (g/cm³): 5.84
Spin magnetization (μB/atom): 0.000

Pick #ii: it beats the second-best structure by 103 meV/atom.

#i
First-principles (PBE-GGA) data for a geometry-optimized NaPrHo2 structure, as listed in Alexandria via LeMat-Bulk.

The structure in POSCAR format:
```
NaPrHo2
1.0
1.7676 1.0205 12.7692
-1.7676 1.0205 12.7692
0.0000 -2.0411 12.7692
Na Pr Ho
1 1 2
Cartesian
0.0000 0.0000 0.0000
0.0000 0.0000 19.1539
0.0000 0.0000 3.4968
0.0000 0.0000 34.8109
```

Results
Theoretical density (g/cm³): 5.93
Spin magnetization (μB/atom): 0.000

#ii
First-principles (PBE-GGA) data for a geometry-optimized NaPrHo2 structure, as listed in Alexandria via LeMat-Bulk.

The structure in POSCAR format:
```
NaPrHo2
1.0
3.5916 0.0000 0.0000
0.0000 3.5916 0.0000
0.0000 0.0000 10.4877
Na Pr Ho
1 1 2
Cartesian
0.0000 0.0000 0.0000
0.0000 0.0000 5.2439
1.7958 1.7958 2.7874
1.7958 1.7958 7.7003
```

Results
Theoretical density (g/cm³): 6.06
Spin magnetization (μB/atom): 0.001

Pick #ii: it beats the second-best structure by 32 meV/atom.

#i
First-principles (PBE-GGA) data for a geometry-optimized NaHo2Sc structure, as listed in Alexandria via LeMat-Bulk.

The structure in POSCAR format:
```
NaHo2Sc
1.0
3.4417 0.0000 0.0000
0.0000 3.4417 0.0000
0.0000 0.0000 10.2735
Na Ho Sc
1 2 1
Cartesian
0.0000 0.0000 0.0000
1.7209 1.7209 2.8698
1.7209 1.7209 7.4037
0.0000 0.0000 5.1367
```

Results
Theoretical density (g/cm³): 5.43
Spin magnetization (μB/atom): 0.000

#ii
First-principles (PBE-GGA) data for a geometry-optimized NaHo2Sc structure, as listed in Alexandria via LeMat-Bulk.

The structure in POSCAR format:
```
NaHo2Sc
1.0
1.7037 0.9836 12.2987
-1.7037 0.9836 12.2987
0.0000 -1.9673 12.2987
Na Ho Sc
1 2 1
Cartesian
0.0000 0.0000 0.0000
0.0000 0.0000 3.4903
0.0000 0.0000 33.4057
0.0000 0.0000 18.4480
```

Results
Theoretical density (g/cm³): 5.34
Spin magnetization (μB/atom): 0.000

Pick #i: it beats the second-best structure by 17 meV/atom.

#i
First-principles (PBE-GGA) data for a geometry-optimized NaHo3Se4 structure, as listed in Alexandria via LeMat-Bulk.

The structure in POSCAR format:
```
NaHo3Se4
1.0
-2.8766 2.8766 5.7763
2.8766 -2.8766 5.7763
2.8766 2.8766 -5.7763
Na Ho Se
1 3 4
Cartesian
0.0000 0.0000 0.0000
2.8766 0.0000 2.8882
0.0000 0.0000 5.7763
0.0000 2.8766 2.8882
2.8766 0.0000 0.0000
0.0000 0.0000 2.8896
0.0000 2.8766 0.0000
0.0000 0.0000 8.6630
```

Results
Theoretical density (g/cm³): 7.24
Spin magnetization (μB/atom): 0.000

#ii
First-principles (PBE-GGA) data for a geometry-optimized NaHo3Se4 structure, as listed in Alexandria via LeMat-Bulk.

The structure in POSCAR format:
```
NaHo3Se4
1.0
5.7212 0.0000 0.0000
0.0000 9.2508 0.0000
0.0000 0.0000 8.5611
Na Ho Se
2 6 8
Cartesian
1.4303 2.3127 0.8110
4.2909 6.9381 7.7501
1.4303 5.0008 5.6481
1.4303 6.9381 2.0983
1.4303 8.8754 5.6481
4.2909 0.3754 2.9130
4.2909 2.3127 6.4628
4.2909 4.2500 2.9130
1.4303 0.3676 2.9368
1.4303 2.3127 6.5249
1.4303 4.2578 2.9368
1.4303 6.9381 7.7595
4.2909 2.3127 0.8016
4.2909 4.9930 5.6243
4.2909 6.9381 2.0362
4.2909 8.8833 5.6243
```

Results
Theoretical density (g/cm³): 6.11
Spin magnetization (μB/atom): 0.057

Pick #i: it beats the second-best structure by 174 meV/atom.

#i
First-principles (PBE-GGA) data for a geometry-optimized NaHoSe2 structure, as listed in Alexandria via LeMat-Bulk.

The structure in POSCAR format:
```
NaHoSe2
1.0
2.0645 1.1919 7.0043
-2.0645 1.1919 7.0043
0.0000 -2.3838 7.0043
Na Ho Se
1 1 2
Cartesian
0.0000 0.0000 0.0000
0.0000 0.0000 10.5064
0.0000 0.0000 5.1028
0.0000 0.0000 15.9100
```

Results
Theoretical density (g/cm³): 5.55
Spin magnetization (μB/atom): 0.000

#ii
First-principles (PBE-GGA) data for a geometry-optimized NaHoSe2 structure, as listed in Alexandria via LeMat-Bulk.

The structure in POSCAR format:
```
NaHoSe2
1.0
2.0492 1.1831 7.2597
-2.0492 1.1831 7.2597
0.0000 -2.3662 7.2597
Na Ho Se
1 1 2
Cartesian
0.0000 0.0000 0.0000
0.0000 0.0000 3.7087
0.0000 0.0000 12.5890
0.0000 0.0000 16.6035
```

Results
Theoretical density (g/cm³): 5.44
Spin magnetization (μB/atom): 0.000

Pick #i: it beats the second-best structure by 31 meV/atom.